Version one
A plane-wave DFT calculation with PBE-GGA was carried out for YNb3O after structural relaxation.

Calculated values
* space group: Pm-3m
* calculated volume: 122 Å³/cell
* size of the total moment: 0.0 μB per formula unit

a = 4.9542 Å, b = 4.9542 Å, c = 4.9542 Å
α = 90.00°, β = 90.00°, γ = 90.00°
With the nearest neighbours (Å) after each atom.
Positions (direct):
Y1 0.0000 0.0000 0.0000  6 Nb 2.48
Nb1 0.0000 0.5000 0.0000  2 Y 2.48
Nb2 0.0000 0.0000 0.5000  2 Y 2.48
Nb3 0.5000 0.0000 0.0000  2 Y 2.48
O1 0.5000 0.5000 0.5000  12 Nb 3.50

Version two
A plane-wave DFT calculation with PBE-GGA was carried out for YNb3O after structural relaxation.

Calculated values
* space group: Pm-3m
* calculated volume: 87 Å³/cell
* size of the total moment: 0.0 μB per formula unit

a = 4.4367 Å, b = 4.4367 Å, c = 4.4367 Å
α = 90.00°, β = 90.00°, γ = 90.00°
With the nearest neighbours (Å) after each atom.
Positions (direct):
Y1 0.5000 0.5000 0.5000  12 Nb 3.14
Nb1 0.0000 0.5000 0.0000  2 O 2.22
Nb2 0.0000 0.0000 0.5000  2 O 2.22
Nb3 0.5000 0.0000 0.0000  2 O 2.22
O1 0.0000 0.0000 0.0000  6 Nb 2.22

Relative to the most stable one, in meV per atom, the structures come out at version one 3120; version two 0.

Version one
A plane-wave DFT calculation with PBE-GGA was carried out for ZrNbO2 after structural relaxation.

Calculated values
* space group: Fm-3m
* calculated volume: 47 Å³/cell
* size of the total moment: 0.0 μB per formula unit

a = 4.0383 Å, b = 4.0383 Å, c = 4.0383 Å
α = 60.00°, β = 60.00°, γ = 60.00°
With the nearest neighbours (Å) after each atom.
Positions (direct):
Nb1 0.5000 0.5000 0.5000  8 O 2.47
O1 0.2500 0.2500 0.2500  4 Nb 2.47, 4 Zr 2.47
O2 0.7500 0.7500 0.7500  4 Zr 2.47, 4 Nb 2.47
Zr1 0.0000 0.0000 0.0000  8 O 2.47

Version two
A plane-wave DFT calculation with PBE-GGA was carried out for ZrNbO2 after structural relaxation.

Calculated values
* space group: R-3m
* calculated volume: 56 Å³/cell
* size of the total moment: 0.0 μB per formula unit

a = 7.1429 Å, b = 7.1429 Å, c = 7.1429 Å
α = 24.66°, β = 24.66°, γ = 24.66°
With the nearest neighbours (Å) after each atom.
Positions (direct):
Nb1 0.5000 0.5000 0.5000  6 O 2.23
O1 0.8990 0.8990 0.8990  1 Zr 2.10, 3 Nb 2.23
O2 0.1010 0.1010 0.1010  1 Zr 2.10, 3 Nb 2.23
Zr1 0.0000 0.0000 0.0000  2 O 2.10

Version three
A plane-wave DFT calculation with PBE-GGA was carried out for ZrNbO2 after structural relaxation.

Calculated values
* space group: R-3m
* calculated volume: 59 Å³/cell
* size of the total moment: 0.0 μB per formula unit

a = 6.1062 Å, b = 6.1062 Å, c = 6.1062 Å
α = 32.65°, β = 32.65°, γ = 32.65°
With the nearest neighbours (Å) after each atom.
Positions (direct):
Nb1 0.0000 0.0000 0.0000  2 O 2.08
O1 0.8802 0.8802 0.8802  1 Nb 2.08, 3 Zr 2.14
O2 0.1198 0.1198 0.1198  1 Nb 2.08, 3 Zr 2.14
Zr1 0.5000 0.5000 0.5000  6 O 2.14

Relative to the most stable one, in meV per atom, the structures come out at version one 621; version two 237; version three 0.

Version one
A plane-wave DFT calculation with PBE-GGA was carried out for Nb4Os after structural relaxation.

Calculated values
* space group: Fmmm
* calculated volume: 97 Å³/cell
* size of the total moment: 0.0 μB per formula unit

a = 5.4275 Å, b = 6.0323 Å, c = 5.4275 Å
α = 132.14°, β = 60.57°, γ = 132.14°
With the nearest neighbours (Å) after each atom.
Positions (direct):
Nb1 0.2500 0.5000 0.7500  6 Nb 2.74-2.78
Nb2 0.7500 0.5000 0.2500  6 Nb 2.74-2.78
Nb3 0.6701 0.3402 0.6701  1 Os 2.51, 5 Nb 2.58-2.78
Nb4 0.3299 0.6598 0.3299  1 Os 2.51, 5 Nb 2.58-2.78
Os1 0.0000 0.0000 0.0000  2 Nb 2.51

Version two
A plane-wave DFT calculation with PBE-GGA was carried out for Nb4Os after structural relaxation.

Calculated values
* space group: Pm-3m
* calculated volume: 113 Å³/cell
* size of the total moment: 1.1 μB per formula unit

a = 4.8286 Å, b = 4.8286 Å, c = 4.8286 Å
α = 90.00°, β = 90.00°, γ = 90.00°
With the nearest neighbours (Å) after each atom.
Positions (direct):
Nb1 0.0000 0.0000 0.0000  12 Nb 3.41
Nb2 0.5000 0.0000 0.5000  2 Os 2.41
Nb3 0.0000 0.5000 0.5000  2 Os 2.41
Nb4 0.5000 0.5000 0.0000  2 Os 2.41
Os1 0.5000 0.5000 0.5000  6 Nb 2.41

Version three
A plane-wave DFT calculation with PBE-GGA was carried out for Nb4Os after structural relaxation.

Calculated values
* space group: I4_1/a
* calculated volume: 188 Å³/cell
* size of the total moment: 0.0 μB per formula unit

a = 5.5470 Å, b = 5.5470 Å, c = 7.2496 Å
α = 112.49°, β = 112.49°, γ = 90.00°
With the nearest neighbours (Å) after each atom.
Positions (direct):
Nb1 0.0355 0.9077 0.3472  2 Os 2.66-2.69, 2 Nb 2.83
Nb2 0.1895 0.2855 0.8472  2 Os 2.66-2.69, 2 Nb 2.83
Nb3 0.7145 0.3423 0.1528  2 Os 2.66-2.69, 2 Nb 2.83
Nb4 0.0923 0.6884 0.6528  2 Os 2.66-2.69, 2 Nb 2.83
Nb5 0.6577 0.5616 0.8472  2 Os 2.66-2.69, 2 Nb 2.83
Nb6 0.4384 0.8105 0.1528  2 Os 2.66-2.69, 2 Nb 2.83
Nb7 0.5605 0.9645 0.6528  2 Os 2.66-2.69, 2 Nb 2.83
Nb8 0.3116 0.4395 0.3472  2 Os 2.66-2.69, 2 Nb 2.83
Os1 0.7500 0.2500 0.5000  8 Nb 2.66-2.69
Os2 0.0000 0.0000 0.0000  8 Nb 2.66-2.69

Relative to the most stable one, in meV per atom, the structures come out at version one 513; version two 1015; version three 0.

Version one
A plane-wave DFT calculation with PBE-GGA was carried out for NbP2Os after structural relaxation.

Calculated values
* space group: Fm-3m
* calculated volume: 55 Å³/cell
* size of the total moment: 0.0 μB per formula unit

a = 4.2765 Å, b = 4.2765 Å, c = 4.2765 Å
α = 60.00°, β = 60.00°, γ = 60.00°
With the nearest neighbours (Å) after each atom.
Positions (direct):
P1 0.2500 0.2500 0.2500  4 Nb 2.62, 4 Os 2.62
P2 0.7500 0.7500 0.7500  4 Nb 2.62, 4 Os 2.62
Nb1 0.0000 0.0000 0.0000  8 P 2.62
Os1 0.5000 0.5000 0.5000  8 P 2.62

Version two
A plane-wave DFT calculation with PBE-GGA was carried out for NbP2Os after structural relaxation.

Calculated values
* space group: I-42d
* calculated volume: 159 Å³/cell
* size of the total moment: 0.0 μB per formula unit

a = 5.4910 Å, b = 5.4910 Å, c = 6.5620 Å
α = 65.27°, β = 65.27°, γ = 90.00°
With the nearest neighbours (Å) after each atom.
Positions (direct):
P1 0.6546 0.1250 0.2500  2 Os 2.26, 2 Nb 2.45
P2 0.0954 0.6250 0.2500  2 Os 2.26, 2 Nb 2.45
P3 0.3750 0.3454 0.7500  2 Os 2.26, 2 Nb 2.45
P4 0.8750 0.9046 0.7500  2 Os 2.26, 2 Nb 2.45
Nb1 0.5000 0.5000 0.0000  4 P 2.45
Nb2 0.2500 0.7500 0.5000  4 P 2.45
Os1 0.0000 0.0000 0.0000  4 P 2.26
Os2 0.7500 0.2500 0.5000  4 P 2.26

Relative to the most stable one, in meV per atom, the structures come out at version one 0; version two 260.

Version one
A plane-wave DFT calculation with PBE-GGA was carried out for NbPOsS2 after structural relaxation.

Calculated values
* space group: P4/mmm
* calculated volume: 95 Å³/cell
* size of the total moment: 0.0 μB per formula unit

a = 4.5851 Å, b = 4.5851 Å, c = 4.5194 Å
α = 90.00°, β = 90.00°, γ = 90.00°
With the nearest neighbours (Å) after each atom.
Positions (direct):
P1 0.0000 0.0000 0.5000  2 Os 2.26
Nb1 0.5000 0.5000 0.5000  8 S 3.22, 4 P 3.24
Os1 0.0000 0.0000 0.0000  2 P 2.26, 4 S 2.29
S1 0.0000 0.5000 0.0000  2 Os 2.29
S2 0.5000 0.0000 0.0000  2 Os 2.29

Version two
A plane-wave DFT calculation with PBE-GGA was carried out for NbPOsS2 after structural relaxation.

Calculated values
* space group: P4/mmm
* calculated volume: 109 Å³/cell
* size of the total moment: 3.9 μB per formula unit

a = 4.6759 Å, b = 4.6759 Å, c = 5.0058 Å
α = 90.00°, β = 90.00°, γ = 90.00°
With the nearest neighbours (Å) after each atom.
Positions (direct):
P1 0.0000 0.0000 0.5000  2 Nb 2.50
Nb1 0.0000 0.0000 0.0000  4 S 2.34, 2 P 2.50
Os1 0.5000 0.5000 0.5000  4 P 3.31, 8 S 3.42
S1 0.0000 0.5000 0.0000  2 Nb 2.34
S2 0.5000 0.0000 0.0000  2 Nb 2.34

Relative to the most stable one, in meV per atom, the structures come out at version one 0; version two 217.

Version one
A plane-wave DFT calculation with PBE-GGA was carried out for NbOs3Pb after structural relaxation.

Calculated values
* space group: Pm-3m
* calculated volume: 113 Å³/cell
* size of the total moment: 0.0 μB per formula unit

a = 4.8298 Å, b = 4.8298 Å, c = 4.8298 Å
α = 90.00°, β = 90.00°, γ = 90.00°
With the nearest neighbours (Å) after each atom.
Positions (direct):
Pb1 0.0000 0.0000 0.0000  6 Os 2.41
Nb1 0.5000 0.5000 0.5000  12 Os 3.42
Os1 0.0000 0.5000 0.0000  2 Pb 2.41
Os2 0.0000 0.0000 0.5000  2 Pb 2.41
Os3 0.5000 0.0000 0.0000  2 Pb 2.41

Version two
A plane-wave DFT calculation with PBE-GGA was carried out for NbOs3Pb after structural relaxation.

Calculated values
* space group: Pm-3m
* calculated volume: 113 Å³/cell
* size of the total moment: 0.4 μB per formula unit

a = 4.8312 Å, b = 4.8312 Å, c = 4.8312 Å
α = 90.00°, β = 90.00°, γ = 90.00°
With the nearest neighbours (Å) after each atom.
Positions (direct):
Pb1 0.5000 0.5000 0.5000  12 Os 3.42
Nb1 0.0000 0.0000 0.0000  6 Os 2.42
Os1 0.0000 0.5000 0.0000  2 Nb 2.42
Os2 0.0000 0.0000 0.5000  2 Nb 2.42
Os3 0.5000 0.0000 0.0000  2 Nb 2.42

Relative to the most stable one, in meV per atom, the structures come out at version one 950; version two 0.

Version one
A plane-wave DFT calculation with PBE-GGA was carried out for Nb2Os2Pd after structural relaxation.

Calculated values
* space group: I4/mmm
* calculated volume: 95 Å³/cell
* size of the total moment: 0.0 μB per formula unit

a = 3.7963 Å, b = 3.7963 Å, c = 7.0958 Å
α = 74.48°, β = 74.48°, γ = 90.00°
With the nearest neighbours (Å) after each atom.
Positions (direct):
Nb1 0.3848 0.3848 0.2304  4 Os 2.60
Nb2 0.6152 0.6152 0.7696  4 Os 2.60
Os1 0.7500 0.2500 0.5000  4 Nb 2.60, 4 Os 2.68
Os2 0.2500 0.7500 0.5000  4 Nb 2.60, 4 Os 2.68
Pd1 0.0000 0.0000 0.0000  8 Nb 3.08

Version two
A plane-wave DFT calculation with PBE-GGA was carried out for Nb2Os2Pd after structural relaxation.

Calculated values
* space group: P4/mbm
* calculated volume: 172 Å³/cell
* size of the total moment: 0.0 μB per formula unit

a = 7.5884 Å, b = 7.5884 Å, c = 2.9831 Å
α = 90.00°, β = 90.00°, γ = 90.00°
With the nearest neighbours (Å) after each atom.
Positions (direct):
Nb1 0.3478 0.8478 0.0000  6 Os 2.65-2.69, 2 Pd 2.88
Nb2 0.8478 0.6522 0.0000  6 Os 2.65-2.69, 2 Pd 2.88
Nb3 0.6522 0.1522 0.0000  6 Os 2.65-2.69, 2 Pd 2.88
Nb4 0.1522 0.3478 0.0000  6 Os 2.65-2.69, 2 Pd 2.88
Os1 0.1432 0.6432 0.5000  6 Nb 2.65-2.69
Os2 0.6432 0.8568 0.5000  6 Nb 2.65-2.69
Os3 0.8568 0.3568 0.5000  6 Nb 2.65-2.69
Os4 0.3568 0.1432 0.5000  6 Nb 2.65-2.69
Pd1 0.0000 0.0000 0.0000  4 Nb 2.88, 2 Pd 2.98
Pd2 0.5000 0.5000 0.0000  4 Nb 2.88, 2 Pd 2.98

Relative to the most stable one, in meV per atom, the structures come out at version one 330; version two 0.

Version one
A plane-wave DFT calculation with PBE-GGA was carried out for NbOsPd3 after structural relaxation.

Calculated values
* space group: Pm-3m
* calculated volume: 105 Å³/cell
* size of the total moment: 1.9 μB per formula unit

a = 4.7218 Å, b = 4.7218 Å, c = 4.7218 Å
α = 90.00°, β = 90.00°, γ = 90.00°
With the nearest neighbours (Å) after each atom.
Positions (direct):
Nb1 0.0000 0.0000 0.0000  6 Pd 2.36
Os1 0.5000 0.5000 0.5000  12 Pd 3.34
Pd1 0.0000 0.5000 0.0000  2 Nb 2.36
Pd2 0.0000 0.0000 0.5000  2 Nb 2.36
Pd3 0.5000 0.0000 0.0000  2 Nb 2.36

Version two
A plane-wave DFT calculation with PBE-GGA was carried out for NbOsPd3 after structural relaxation.

Calculated values
* space group: Pm-3m
* calculated volume: 106 Å³/cell
* size of the total moment: 0.0 μB per formula unit

a = 4.7400 Å, b = 4.7400 Å, c = 4.7400 Å
α = 90.00°, β = 90.00°, γ = 90.00°
With the nearest neighbours (Å) after each atom.
Positions (direct):
Nb1 0.5000 0.5000 0.5000  12 Pd 3.35
Os1 0.0000 0.0000 0.0000  6 Pd 2.37
Pd1 0.0000 0.5000 0.0000  2 Os 2.37
Pd2 0.0000 0.0000 0.5000  2 Os 2.37
Pd3 0.5000 0.0000 0.0000  2 Os 2.37

Relative to the most stable one, in meV per atom, the structures come out at version one 154; version two 0.